TaBiPCl2: optimized geometry, PBE.

```
5
Lattice="5.157 0.000 0.000 0.000 5.157 0.000 0.000 0.000 5.730" Properties=species:S:1:pos:R:3 pbc="T T T"
Ta 0.000 0.000 0.000
Bi 2.579 2.579 2.865
P 2.579 2.579 0.000
Cl 0.000 2.579 2.865
Cl 2.579 0.000 2.865
```

Computed properties:
**ΔE to the lowest computed polymorph**: 1126 meV/atom


TaBiP2Cl: optimized geometry, PBE.

```
5
Lattice="5.225 0.000 0.000 0.000 5.225 0.000 0.000 0.000 5.036" Properties=species:S:1:pos:R:3 pbc="T T T"
Ta 0.000 0.000 0.000
Bi 2.612 2.612 2.518
P 0.000 2.612 2.518
P 2.612 0.000 2.518
Cl 2.612 2.612 0.000
```

Computed properties:
**ΔE to the lowest computed polymorph**: 1416 meV/atom


TcBi2PCl: optimized geometry, PBE.

```
5
Lattice="5.364 0.000 0.000 0.000 5.364 0.000 0.000 0.000 4.638" Properties=species:S:1:pos:R:3 pbc="T T T"
Tc 0.000 0.000 0.000
Bi 0.000 2.682 2.319
Bi 2.682 0.000 2.319
P 2.682 2.682 0.000
Cl 2.682 2.682 2.319
```

Computed properties:
**Uncorrected energy**: -3.696 eV per atom


TcBiP2Cl: optimized geometry, PBE.

```
5
Lattice="5.287 0.000 0.000 0.000 5.287 0.000 0.000 0.000 5.213" Properties=species:S:1:pos:R:3 pbc="T T T"
Tc 0.000 0.000 0.000
Bi 2.644 2.644 2.606
P 0.000 2.644 2.606
P 2.644 0.000 2.606
Cl 2.644 2.644 0.000
```

Computed properties:
**ΔE to the lowest computed polymorph**: 1121 meV/atom


TcBiP2Cl: optimized geometry, PBE.

```
5
Lattice="4.620 0.000 0.000 0.000 4.620 0.000 0.000 0.000 5.023" Properties=species:S:1:pos:R:3 pbc="T T T"
Tc 0.000 0.000 0.000
Bi 2.310 2.310 2.512
P 0.000 2.310 0.000
P 2.310 0.000 0.000
Cl 0.000 0.000 2.512
```

Computed properties:
**ΔE to the lowest computed polymorph**: 0 meV/atom


BiTeP2Cl: optimized geometry, PBE.

```
5
Lattice="5.190 0.000 0.000 0.000 5.190 0.000 0.000 0.000 4.996" Properties=species:S:1:pos:R:3 pbc="T T T"
Bi 0.000 0.000 0.000
Te 2.595 2.595 2.498
P 0.000 2.595 2.498
P 2.595 0.000 2.498
Cl 2.595 2.595 0.000
```

Computed properties:
**ΔE to the lowest computed polymorph**: 0 meV/atom


BiTePCl2: optimized geometry, PBE.

```
5
Lattice="5.213 0.000 0.000 0.000 5.213 0.000 0.000 0.000 5.919" Properties=species:S:1:pos:R:3 pbc="T T T"
Bi 0.000 0.000 0.000
Te 2.606 2.606 2.960
P 0.000 0.000 2.960
Cl 0.000 2.606 0.000
Cl 2.606 0.000 0.000
```

Computed properties:
**ΔE to the lowest computed polymorph**: 0 meV/atom


BiTePCl2: optimized geometry, PBE.

```
5
Lattice="5.171 0.000 0.000 0.000 5.171 0.000 0.000 0.000 5.485" Properties=species:S:1:pos:R:3 pbc="T T T"
Bi 0.000 0.000 0.000
Te 2.585 2.585 2.742
P 2.585 2.585 0.000
Cl 0.000 2.585 2.742
Cl 2.585 0.000 2.742
```

Computed properties:
**ΔE to the lowest computed polymorph**: 127 meV/atom


BiTeP2Cl: optimized geometry, PBE.

```
5
Lattice="5.379 0.000 0.000 0.000 5.379 0.000 0.000 0.000 5.125" Properties=species:S:1:pos:R:3 pbc="T T T"
Bi 0.000 0.000 0.000
Te 2.689 2.689 2.563
P 0.000 2.689 0.000
P 2.689 0.000 0.000
Cl 0.000 0.000 2.563
```

Computed properties:
**ΔE to the lowest computed polymorph**: 106 meV/atom


TiBiP2Cl: optimized geometry, PBE.

```
5
Lattice="4.909 0.000 0.000 0.000 4.909 0.000 0.000 0.000 4.573" Properties=species:S:1:pos:R:3 pbc="T T T"
Ti 0.000 0.000 0.000
Bi 2.455 2.455 2.286
P 0.000 2.455 0.000
P 2.455 0.000 0.000
Cl 0.000 0.000 2.286
```

Computed properties:
**ΔE to the lowest computed polymorph**: 0 meV/atom


TiBiP2Cl: optimized geometry, PBE.

```
5
Lattice="5.246 0.000 0.000 0.000 5.246 0.000 0.000 0.000 5.131" Properties=species:S:1:pos:R:3 pbc="T T T"
Ti 0.000 0.000 0.000
Bi 2.623 2.623 2.566
P 0.000 2.623 2.566
P 2.623 0.000 2.566
Cl 2.623 2.623 0.000
```

Computed properties:
**ΔE to the lowest computed polymorph**: 1159 meV/atom


TlBiP2Cl: optimized geometry, PBE.

```
5
Lattice="5.348 0.000 0.000 0.000 5.348 0.000 0.000 0.000 5.656" Properties=species:S:1:pos:R:3 pbc="T T T"
Tl 0.000 0.000 0.000
Bi 2.674 2.674 2.828
P 0.000 2.674 2.828
P 2.674 0.000 2.828
Cl 2.674 2.674 0.000
```

Computed properties:
**ΔE to the lowest computed polymorph**: 0 meV/atom


TlBiP2Cl: optimized geometry, PBE.

```
5
Lattice="5.159 0.000 0.000 0.000 5.159 0.000 0.000 0.000 5.145" Properties=species:S:1:pos:R:3 pbc="T T T"
Tl 0.000 0.000 0.000
Bi 2.579 2.579 2.572
P 0.000 2.579 0.000
P 2.579 0.000 0.000
Cl 0.000 0.000 2.572
```

Computed properties:
**ΔE to the lowest computed polymorph**: 284 meV/atom


VBiPCl2: optimized geometry, PBE.

```
5
Lattice="5.304 0.000 0.000 0.000 5.304 0.000 0.000 0.000 5.473" Properties=species:S:1:pos:R:3 pbc="T T T"
V 0.000 0.000 0.000
Bi 2.652 2.652 2.736
P 2.652 2.652 0.000
Cl 0.000 2.652 2.736
Cl 2.652 0.000 2.736
```

Computed properties:
**ΔE to the lowest computed polymorph**: 746 meV/atom


VBiPCl2: optimized geometry, PBE.

```
5
Lattice="4.654 0.000 0.000 0.000 4.654 0.000 0.000 0.000 5.875" Properties=species:S:1:pos:R:3 pbc="T T T"
V 0.000 0.000 0.000
Bi 2.327 2.327 0.000
P 2.327 2.327 2.937
Cl 0.000 2.327 2.937
Cl 2.327 0.000 2.937
```

Computed properties:
**ΔE to the lowest computed polymorph**: 655 meV/atom


VBi2PCl: optimized geometry, PBE.

```
5
Lattice="5.331 0.000 0.000 0.000 5.331 0.000 0.000 0.000 4.664" Properties=species:S:1:pos:R:3 pbc="T T T"
V 0.000 0.000 0.000
Bi 0.000 2.666 2.332
Bi 2.666 0.000 2.332
P 2.666 2.666 0.000
Cl 2.666 2.666 2.332
```

Computed properties:
**Uncorrected energy**: -3.548 eV per atom


VBiPCl2: optimized geometry, PBE.

```
5
Lattice="4.663 0.000 0.000 0.000 4.663 0.000 0.000 0.000 5.133" Properties=species:S:1:pos:R:3 pbc="T T T"
V 0.000 0.000 0.000
Bi 2.332 2.332 2.567
P 0.000 0.000 2.567
Cl 0.000 2.332 0.000
Cl 2.332 0.000 0.000
```

Computed properties:
**ΔE to the lowest computed polymorph**: 0 meV/atom


BiP2WCl: optimized geometry, PBE.

```
5
Lattice="4.811 0.000 0.000 0.000 4.811 0.000 0.000 0.000 4.747" Properties=species:S:1:pos:R:3 pbc="T T T"
Bi 0.000 0.000 0.000
P 0.000 2.405 2.373
P 2.405 0.000 2.373
W 2.405 2.405 2.373
Cl 2.405 2.405 0.000
```

Computed properties:
**ΔE to the lowest computed polymorph**: 0 meV/atom


BiP2WCl: optimized geometry, PBE.

```
5
Lattice="5.275 0.000 0.000 0.000 5.275 0.000 0.000 0.000 5.098" Properties=species:S:1:pos:R:3 pbc="T T T"
Bi 0.000 0.000 0.000
P 0.000 2.638 0.000
P 2.638 0.000 0.000
W 2.638 2.638 2.549
Cl 0.000 0.000 2.549
```

Computed properties:
**ΔE to the lowest computed polymorph**: 1356 meV/atom


BiPWCl2: optimized geometry, PBE.

```
5
Lattice="4.781 0.000 0.000 0.000 4.781 0.000 0.000 0.000 4.942" Properties=species:S:1:pos:R:3 pbc="T T T"
Bi 0.000 0.000 0.000
P 2.391 2.391 0.000
W 2.391 2.391 2.471
Cl 0.000 2.391 2.471
Cl 2.391 0.000 2.471
```

Computed properties:
**ΔE to the lowest computed polymorph**: 0 meV/atom


BiPWCl2: optimized geometry, PBE.

```
5
Lattice="5.191 0.000 0.000 0.000 5.191 0.000 0.000 0.000 5.747" Properties=species:S:1:pos:R:3 pbc="T T T"
Bi 0.000 0.000 0.000
P 0.000 0.000 2.873
W 2.596 2.596 2.873
Cl 0.000 2.596 0.000
Cl 2.596 0.000 0.000
```

Computed properties:
**ΔE to the lowest computed polymorph**: 914 meV/atom


YBiPCl2: optimized geometry, PBE.

```
5
Lattice="5.081 0.000 0.000 0.000 5.081 0.000 0.000 0.000 5.821" Properties=species:S:1:pos:R:3 pbc="T T T"
Y 0.000 0.000 0.000
Bi 2.541 2.541 2.910
P 0.000 0.000 2.910
Cl 0.000 2.541 0.000
Cl 2.541 0.000 0.000
```

Computed properties:
**ΔE to the lowest computed polymorph**: 0 meV/atom


YBiPCl2: optimized geometry, PBE.

```
5
Lattice="5.247 0.000 0.000 0.000 5.247 0.000 0.000 0.000 5.628" Properties=species:S:1:pos:R:3 pbc="T T T"
Y 0.000 0.000 0.000
Bi 2.623 2.623 2.814
P 2.623 2.623 0.000
Cl 0.000 2.623 2.814
Cl 2.623 0.000 2.814
```

Computed properties:
**ΔE to the lowest computed polymorph**: 669 meV/atom


BiPbCl2: optimized geometry, PBE.

```
4
Lattice="0.000 3.773 3.773 3.773 0.000 3.773 3.773 3.773 0.000" Properties=species:S:1:pos:R:3 pbc="T T T"
Bi 0.000 0.000 0.000
Pb 3.773 3.773 3.773
Cl 1.887 1.887 1.887
Cl 5.660 5.660 5.660
```

Computed properties:
**ΔE to the lowest computed polymorph**: 335 meV/atom


BiPb2Cl6: optimized geometry, PBE.

```
18
Lattice="7.055 0.000 0.000 0.000 7.055 0.000 0.000 0.000 12.919" Properties=species:S:1:pos:R:3 pbc="T T T"
Bi 0.000 0.000 0.000
Bi 3.527 3.527 6.459
Pb 0.000 0.000 4.361
Pb 0.000 0.000 8.558
Pb 3.527 3.527 2.099
Pb 3.527 3.527 10.820
Cl 1.287 1.287 6.459
Cl 1.387 1.387 1.994
Cl 1.387 1.387 10.925
Cl 2.140 4.915 4.465
Cl 2.140 4.915 8.454
Cl 2.241 4.814 0.000
Cl 4.814 2.241 0.000
Cl 4.915 2.140 4.465
Cl 4.915 2.140 8.454
Cl 5.668 5.668 1.994
Cl 5.668 5.668 10.925
Cl 5.768 5.768 6.459
```

Computed properties:
**Uncorrected energy**: -3.420 eV per atom


BiPb2Cl8: optimized geometry, PBE.

```
11
Lattice="6.405 -4.676 0.000 6.405 4.676 0.000 -2.732 0.000 6.300" Properties=species:S:1:pos:R:3 pbc="T T T"
Bi 0.000 0.000 0.000
Pb 2.312 0.000 4.764
Pb 7.767 0.000 1.536
Cl 2.559 2.869 4.664
Cl -0.540 0.000 4.821
Cl 7.519 2.869 1.636
Cl 4.973 0.000 1.138
Cl 5.106 0.000 5.162
Cl 2.559 -2.869 4.664
Cl 10.618 0.000 1.479
Cl 7.519 -2.869 1.636
```

Computed properties:
**Uncorrected energy**: -3.290 eV per atom


BiPbCl2: optimized geometry, PBE.

```
8
Lattice="-4.147 4.147 3.415 4.147 -4.147 3.415 4.147 4.147 -3.415" Properties=species:S:1:pos:R:3 pbc="T T T"
Bi 0.000 0.000 0.000
Bi 0.000 4.147 1.707
Pb 4.147 0.000 1.707
Pb 0.000 0.000 3.415
Cl 6.221 2.066 -0.854
Cl 2.066 2.074 0.854
Cl -2.074 2.081 2.561
Cl 2.081 2.074 4.268
```

Computed properties:
**ΔE to the lowest computed polymorph**: 171 meV/atom


BiPbCl2: optimized geometry, PBE.

```
4
Lattice="1.804 1.041 10.239 -1.804 1.041 10.239 0.000 -2.083 10.239" Properties=species:S:1:pos:R:3 pbc="T T T"
Bi 0.000 0.000 0.000
Pb 0.000 0.000 15.359
Cl 0.000 0.000 2.713
Cl 0.000 0.000 28.006
```

Computed properties:
**ΔE to the lowest computed polymorph**: 0 meV/atom